Entry 1:
VASP calculation (PBE-GGA) on an optimized crystal structure of SmPd6Au8.

```
15
Lattice="7.772 0.000 0.000 -3.886 6.731 0.000 0.000 0.000 5.541" Properties=species:S:1:pos:R:3 pbc="T T T"
Sm 0.000 0.000 0.000
Pd -2.260 4.514 4.779
Pd 1.107 2.517 4.779
Pd 2.733 0.300 0.762
Pd 1.153 6.432 4.779
Pd 2.779 4.214 0.762
Pd 6.146 2.217 0.762
Au -2.520 4.689 2.048
Au 1.085 2.205 2.048
Au 2.452 0.162 3.494
Au 0.000 4.487 0.861
Au 3.886 2.244 4.680
Au 1.434 6.569 2.048
Au 2.801 4.527 3.494
Au 6.406 2.042 3.494
```

Values from the calculation:
SG   No. 147

***

Entry 2:
VASP calculation (PBE-GGA) on an optimized crystal structure of Sm4PdAu.

```
12
Lattice="7.111 0.000 0.000 0.000 7.111 0.000 0.000 0.000 6.609" Properties=species:S:1:pos:R:3 pbc="T T T"
Sm 1.224 2.277 0.000
Sm 1.224 4.834 3.304
Sm 2.277 1.224 3.304
Sm 2.277 5.887 0.000
Sm 4.834 1.224 0.000
Sm 4.834 5.887 3.304
Sm 5.887 2.277 3.304
Sm 5.887 4.834 0.000
Pd 0.000 0.000 1.652
Pd 0.000 0.000 4.957
Au 3.556 3.556 1.652
Au 3.556 3.556 4.957
```

Values from the calculation:
SG   No. 124

***

Entry 3:
VASP calculation (PBE-GGA) on an optimized crystal structure of Sm8Pd2Au.

```
11
Lattice="4.270 -6.790 0.000 4.270 6.790 0.000 -1.930 0.000 5.638" Properties=species:S:1:pos:R:3 pbc="T T T"
Sm 0.000 0.000 0.000
Sm 0.227 1.709 3.337
Sm 2.881 2.985 1.040
Sm 0.227 -1.709 3.337
Sm 3.536 1.703 4.456
Sm 2.881 -2.985 1.040
Sm 3.536 -1.703 4.456
Sm 5.687 0.000 2.077
Pd 1.887 4.074 3.850
Pd 1.887 -4.074 3.850
Au 3.128 0.000 0.223
```

Values from the calculation:
SG   No. 8

***

Entry 4:
VASP calculation (PBE-GGA) on an optimized crystal structure of Sm4PdAu.

```
12
Lattice="-4.883 4.883 4.250 4.883 -4.883 4.250 4.883 4.883 -4.250" Properties=species:S:1:pos:R:3 pbc="T T T"
Sm 0.000 1.963 0.000
Sm 2.905 0.000 1.979
Sm 6.860 0.000 1.979
Sm 4.883 2.905 -0.146
Sm 0.000 1.977 4.104
Sm -1.963 4.883 2.125
Sm 1.963 4.883 2.125
Sm 0.000 7.802 0.000
Pd 0.000 0.000 2.057
Pd 0.000 4.883 4.182
Au 4.883 0.000 4.178
Au 0.000 0.000 6.302
```

Values from the calculation:
SG   No. 109

***

Size of the total moment, respectively: 0.0, 0.0, 0.0, 0.0 μB/f.u..
DFT total energy, respectively: -4.2901, -5.0650, -4.9921, -4.8718 eV/atom.
Calculated formation energy, respectively: -0.150, -0.507, -0.318, -0.314 eV per atom.